(1)
{"formula": "Li2VP2O8", "functional": "GGA-PBEsol", "state": "optimized geometry", "density_kg_m3": 2952, "dft_energy_ev_per_atom": -7.468, "dos_at_fermi_per_ev_cell": 6.96, "lattice_angstrom": [[4.977, 0.000, 0.000], [0.000, 7.731, 0.000], [-4.066, 0.000, 7.449]], "species": ["Li", "Li", "Li", "Li", "V", "V", "P", "P", "P", "P", "O", "O", "O", "O", "O", "O", "O", "O", "O", "O", "O", "O", "O", "O", "O", "O"], "fractional_positions": [[0.016, 0.129, 0.105], [0.016, 0.371, 0.605], [0.984, 0.629, 0.395], [0.984, 0.871, 0.895], [0.000, 0.000, 0.500], [0.000, 0.500, 0.000], [0.348, 0.690, 0.791], [0.348, 0.810, 0.291], [0.652, 0.190, 0.709], [0.652, 0.310, 0.209], [0.203, 0.627, 0.237], [0.203, 0.873, 0.737], [0.229, 0.622, 0.923], [0.229, 0.878, 0.423], [0.244, 0.570, 0.635], [0.244, 0.930, 0.135], [0.299, 0.195, 0.594], [0.299, 0.305, 0.094], [0.701, 0.695, 0.906], [0.701, 0.805, 0.406], [0.756, 0.070, 0.865], [0.756, 0.430, 0.365], [0.771, 0.122, 0.577], [0.771, 0.378, 0.077], [0.797, 0.127, 0.263], [0.797, 0.373, 0.763]]}

=====

(2)
{"formula": "LiVPO4", "functional": "GGA-PBEsol", "state": "optimized geometry", "density_kg_m3": 3987, "dft_energy_ev_per_atom": -7.607, "dos_at_fermi_per_ev_cell": 2.40, "lattice_angstrom": [[-2.765, 2.834, 4.062], [2.765, -2.834, 4.062], [2.765, 2.834, -4.062]], "species": ["Li", "Li", "V", "V", "P", "P", "O", "O", "O", "O", "O", "O", "O", "O"], "fractional_positions": [[0.000, 0.000, 0.000], [0.500, 0.000, 0.500], [0.500, 0.000, 0.000], [0.500, 0.500, 0.500], [0.136, 0.386, 0.750], [0.864, 0.614, 0.250], [0.202, 0.729, 0.473], [0.243, 0.261, 0.518], [0.243, 0.725, 0.982], [0.244, 0.271, 0.973], [0.756, 0.729, 0.027], [0.757, 0.275, 0.018], [0.757, 0.739, 0.482], [0.798, 0.271, 0.527]]}